Density functional theory data (PBEsol) for a relaxed structure of MnRe2Ag.

Geometry as CIF:
```
data_MnRe2Ag
_chemical_formula_sum 'Mn2 Re4 Ag2'
_cell_length_a 9.0697
_cell_length_b 2.6639
_cell_length_c 4.8040
_cell_angle_alpha 90.00
_cell_angle_beta 100.19
_cell_angle_gamma 90.00
_space_group_name_H-M_alt 'C 1 m 1'
_space_group_IT_number 8
_space_group_name_Hall 'C -2y'
loop_
_atom_site_label
_atom_site_type_symbol
_atom_site_fract_x
_atom_site_fract_y
_atom_site_fract_z
_atom_site_occupancy
Mn1 Mn 0.0000 0.0000 0.0000 1
Re1 Re 0.0144 0.5000 0.5164 1
Re2 Re 0.2715 0.0000 0.7404 1
Ag1 Ag 0.2556 0.5000 0.2325 1
```

Computed properties:
Formation enthalpy at 0 K, kJ/mol of atoms: 44
Magnetization, μB per formula unit: 2.051
Energy above the lowest structure with this stoichiometry, meV per atom: 1



Density functional theory data (PBEsol) for a relaxed structure of Mn2ReAg.

Geometry as CIF:
```
data_Mn2ReAg
_chemical_formula_sum 'Mn2 Re1 Ag1'
_cell_length_a 2.7807
_cell_length_b 2.7807
_cell_length_c 7.2254
_cell_angle_alpha 90.00
_cell_angle_beta 90.00
_cell_angle_gamma 90.00
_space_group_name_H-M_alt 'P 4/m m m'
_space_group_IT_number 123
_space_group_name_Hall '-P 4 2'
loop_
_atom_site_label
_atom_site_type_symbol
_atom_site_fract_x
_atom_site_fract_y
_atom_site_fract_z
_atom_site_occupancy
Mn1 Mn 0.0000 0.0000 0.2281 1
Re1 Re 0.5000 0.5000 0.0000 1
Ag1 Ag 0.5000 0.5000 0.5000 1
```

Computed properties:
Formation enthalpy at 0 K, kJ/mol of atoms: 31
Magnetization, μB per formula unit: 5.021
Energy above the lowest structure with this stoichiometry, meV per atom: 0



Density functional theory data (PBEsol) for a relaxed structure of MnRe2Ag.

Geometry as CIF:
```
data_MnRe2Ag
_chemical_formula_sum 'Mn2 Re4 Ag2'
_cell_length_a 3.9152
_cell_length_b 3.9152
_cell_length_c 7.4145
_cell_angle_alpha 90.00
_cell_angle_beta 90.00
_cell_angle_gamma 90.00
_space_group_name_H-M_alt 'I -4 m 2'
_space_group_IT_number 119
_space_group_name_Hall 'I -4 -2'
loop_
_atom_site_label
_atom_site_type_symbol
_atom_site_fract_x
_atom_site_fract_y
_atom_site_fract_z
_atom_site_occupancy
Mn1 Mn 0.0000 0.0000 0.0000 1
Re1 Re 0.0000 0.0000 0.5000 1
Re2 Re 0.0000 0.5000 0.2500 1
Ag1 Ag 0.0000 0.5000 0.7500 1
```

Computed properties:
Formation enthalpy at 0 K, kJ/mol of atoms: 44
Magnetization, μB per formula unit: 2.503
Energy above the lowest structure with this stoichiometry, meV per atom: 0



Density functional theory data (PBEsol) for a relaxed structure of MnRe2Ag.

Geometry as CIF:
```
data_MnRe2Ag
_chemical_formula_sum 'Mn2 Re4 Ag2'
_cell_length_a 5.2530
_cell_length_b 8.8695
_cell_length_c 2.6049
_cell_angle_alpha 90.00
_cell_angle_beta 107.50
_cell_angle_gamma 90.00
_space_group_name_H-M_alt 'C 1 2/m 1'
_space_group_IT_number 12
_space_group_name_Hall '-C 2y'
loop_
_atom_site_label
_atom_site_type_symbol
_atom_site_fract_x
_atom_site_fract_y
_atom_site_fract_z
_atom_site_occupancy
Mn1 Mn 0.0000 0.0000 0.0000 1
Re1 Re 0.2500 0.2500 0.5000 1
Ag1 Ag 0.0000 0.5000 0.0000 1
```

Computed properties:
Formation enthalpy at 0 K, kJ/mol of atoms: 53
Magnetization, μB per formula unit: 2.657
Energy above the lowest structure with this stoichiometry, meV per atom: 88



Density functional theory data (PBEsol) for a relaxed structure of Mn2ReAg.

Geometry as CIF:
```
data_Mn2ReAg
_chemical_formula_sum 'Mn4 Re2 Ag2'
_cell_length_a 3.1012
_cell_length_b 4.2579
_cell_length_c 8.3804
_cell_angle_alpha 90.00
_cell_angle_beta 90.00
_cell_angle_gamma 90.00
_space_group_name_H-M_alt 'C m m m'
_space_group_IT_number 65
_space_group_name_Hall '-C 2 2'
loop_
_atom_site_label
_atom_site_type_symbol
_atom_site_fract_x
_atom_site_fract_y
_atom_site_fract_z
_atom_site_occupancy
Mn1 Mn 0.0000 0.0000 0.2363 1
Re1 Re 0.0000 0.5000 0.0000 1
Ag1 Ag 0.0000 0.5000 0.5000 1
```

Computed properties:
Formation enthalpy at 0 K, kJ/mol of atoms: 35
Magnetization, μB per formula unit: 4.806
Energy above the lowest structure with this stoichiometry, meV per atom: 39



Density functional theory data (PBEsol) for a relaxed structure of MnAg2Rh.

Geometry as CIF:
```
data_MnAg2Rh
_chemical_formula_sum 'Mn3 Ag6 Rh3'
_cell_length_a 2.7546
_cell_length_b 2.7546
_cell_length_c 27.3588
_cell_angle_alpha 90.00
_cell_angle_beta 90.00
_cell_angle_gamma 120.00
_space_group_name_H-M_alt 'R -3 m'
_space_group_IT_number 166
_space_group_name_Hall '-R 3 2"'
loop_
_atom_site_label
_atom_site_type_symbol
_atom_site_fract_x
_atom_site_fract_y
_atom_site_fract_z
_atom_site_occupancy
Mn1 Mn 0.0000 0.0000 0.0000 1
Ag1 Ag 0.0000 0.0000 0.2509 1
Rh1 Rh 0.0000 0.0000 0.5000 1
```

Computed properties:
Formation enthalpy at 0 K, kJ/mol of atoms: 34
Magnetization, μB per formula unit: 3.750
Energy above the lowest structure with this stoichiometry, meV per atom: 121



Density functional theory data (PBEsol) for a relaxed structure of MnAg2Rh.

Geometry as CIF:
```
data_MnAg2Rh
_chemical_formula_sum 'Mn2 Ag4 Rh2'
_cell_length_a 5.2833
_cell_length_b 9.4189
_cell_length_c 2.7691
_cell_angle_alpha 90.00
_cell_angle_beta 117.86
_cell_angle_gamma 90.00
_space_group_name_H-M_alt 'C 1 2/m 1'
_space_group_IT_number 12
_space_group_name_Hall '-C 2y'
loop_
_atom_site_label
_atom_site_type_symbol
_atom_site_fract_x
_atom_site_fract_y
_atom_site_fract_z
_atom_site_occupancy
Mn1 Mn 0.0000 0.0000 0.0000 1
Ag1 Ag 0.2500 0.2500 0.5000 1
Rh1 Rh 0.0000 0.5000 0.0000 1
```

Computed properties:
Formation enthalpy at 0 K, kJ/mol of atoms: 28
Magnetization, μB per formula unit: 4.185
Energy above the lowest structure with this stoichiometry, meV per atom: 64



Density functional theory data (PBEsol) for a relaxed structure of MnAg2Rh.

Geometry as CIF:
```
data_MnAg2Rh
_chemical_formula_sum 'Mn4 Ag8 Rh4'
_cell_length_a 6.2305
_cell_length_b 6.2305
_cell_length_c 6.2305
_cell_angle_alpha 90.00
_cell_angle_beta 90.00
_cell_angle_gamma 90.00
_space_group_name_H-M_alt 'F -4 3 m'
_space_group_IT_number 216
_space_group_name_Hall 'F -4 2 3'
loop_
_atom_site_label
_atom_site_type_symbol
_atom_site_fract_x
_atom_site_fract_y
_atom_site_fract_z
_atom_site_occupancy
Mn1 Mn 0.0000 0.0000 0.0000 1
Ag1 Ag 0.0000 0.0000 0.5000 1
Ag2 Ag 0.2500 0.2500 0.7500 1
Rh1 Rh 0.2500 0.2500 0.2500 1
```

Computed properties:
Formation enthalpy at 0 K, kJ/mol of atoms: 22
Magnetization, μB per formula unit: 4.406
Energy above the lowest structure with this stoichiometry, meV per atom: 0



Density functional theory data (PBEsol) for a relaxed structure of MnAg2Rh.

Geometry as CIF:
```
data_MnAg2Rh
_chemical_formula_sum 'Mn1 Ag2 Rh1'
_cell_length_a 3.3190
_cell_length_b 3.3190
_cell_length_c 5.5399
_cell_angle_alpha 90.00
_cell_angle_beta 90.00
_cell_angle_gamma 90.00
_space_group_name_H-M_alt 'P 4/m m m'
_space_group_IT_number 123
_space_group_name_Hall '-P 4 2'
loop_
_atom_site_label
_atom_site_type_symbol
_atom_site_fract_x
_atom_site_fract_y
_atom_site_fract_z
_atom_site_occupancy
Mn1 Mn 0.0000 0.0000 0.0000 1
Ag1 Ag 0.5000 0.5000 0.2471 1
Rh1 Rh 0.0000 0.0000 0.5000 1
```

Computed properties:
Formation enthalpy at 0 K, kJ/mol of atoms: 33
Magnetization, μB per formula unit: 4.427
Energy above the lowest structure with this stoichiometry, meV per atom: 113



Density functional theory data (PBEsol) for a relaxed structure of MnAgRu2.

Geometry as CIF:
```
data_MnAgRu2
_chemical_formula_sum 'Mn1 Ag1 Ru2'
_cell_length_a 2.7090
_cell_length_b 2.7090
_cell_length_c 7.6815
_cell_angle_alpha 90.00
_cell_angle_beta 90.00
_cell_angle_gamma 90.00
_space_group_name_H-M_alt 'P 4 m m'
_space_group_IT_number 99
_space_group_name_Hall 'P 4 -2'
loop_
_atom_site_label
_atom_site_type_symbol
_atom_site_fract_x
_atom_site_fract_y
_atom_site_fract_z
_atom_site_occupancy
Mn1 Mn 0.0000 0.0000 0.0000 1
Ag1 Ag 0.5000 0.5000 0.7379 1
Ru1 Ru 0.0000 0.0000 0.4607 1
Ru2 Ru 0.5000 0.5000 0.2384 1
```

Computed properties:
Formation enthalpy at 0 K, kJ/mol of atoms: 32
Magnetization, μB per formula unit: 3.403
Energy above the lowest structure with this stoichiometry, meV per atom: 0



Density functional theory data (PBEsol) for a relaxed structure of MnAg2Ru.

Geometry as CIF:
```
data_MnAg2Ru
_chemical_formula_sum 'Mn1 Ag2 Ru1'
_cell_length_a 3.7587
_cell_length_b 3.7587
_cell_length_c 4.1958
_cell_angle_alpha 90.00
_cell_angle_beta 90.00
_cell_angle_gamma 90.00
_space_group_name_H-M_alt 'P 4/m m m'
_space_group_IT_number 123
_space_group_name_Hall '-P 4 2'
loop_
_atom_site_label
_atom_site_type_symbol
_atom_site_fract_x
_atom_site_fract_y
_atom_site_fract_z
_atom_site_occupancy
Mn1 Mn 0.0000 0.0000 0.0000 1
Ag1 Ag 0.0000 0.5000 0.5000 1
Ru1 Ru 0.5000 0.5000 0.0000 1
```

Computed properties:
Formation enthalpy at 0 K, kJ/mol of atoms: 46
Magnetization, μB per formula unit: 3.525
Energy above the lowest structure with this stoichiometry, meV per atom: 112



Density functional theory data (PBEsol) for a relaxed structure of MnAgRu2.

Geometry as CIF:
```
data_MnAgRu2
_chemical_formula_sum 'Mn2 Ag2 Ru4'
_cell_length_a 2.7515
_cell_length_b 4.4211
_cell_length_c 9.2083
_cell_angle_alpha 90.00
_cell_angle_beta 90.00
_cell_angle_gamma 90.00
_space_group_name_H-M_alt 'I m m m'
_space_group_IT_number 71
_space_group_name_Hall '-I 2 2'
loop_
_atom_site_label
_atom_site_type_symbol
_atom_site_fract_x
_atom_site_fract_y
_atom_site_fract_z
_atom_site_occupancy
Mn1 Mn 0.0000 0.0000 0.0000 1
Ag1 Ag 0.0000 0.0000 0.5000 1
Ru1 Ru 0.0000 0.5000 0.2797 1
```

Computed properties:
Formation enthalpy at 0 K, kJ/mol of atoms: 41
Magnetization, μB per formula unit: 2.506
Energy above the lowest structure with this stoichiometry, meV per atom: 94